(1)
! Y2Re2Cl | OQMD via LeMat-Bulk | PBE | optimized geometry; values from VASP
! VASP energy   -8.02 eV/atom
&SYSTEM
  ibrav = 0, nat = 10, ntyp = 3
/
ATOMIC_SPECIES
Y 88.91 Y.upf
Re 186.21 Re.upf
Cl 35.45 Cl.upf
ATOMIC_POSITIONS angstrom
Y 5.7418 6.6081 2.8610
Y 4.1194 10.1801 4.7713
Y 3.7696 4.1080 4.7713
Y 2.1472 7.6800 2.8610
Re 2.0031 4.7408 2.6700
Re 3.9137 8.3128 0.7597
Re 1.9414 2.4033 2.6700
Re 3.9753 5.9753 0.7597
Cl 5.9168 10.7161 6.7476
Cl 3.9445 7.1440 4.8373
CELL_PARAMETERS angstrom
0.0000 7.1440 3.8205
3.9445 0.0000 3.8205
3.9445 7.1440 0.0000

=====

(2)
! WSeS2Cl5 | OQMD via LeMat-Bulk | PBE | optimized geometry; values from VASP
! VASP energy   -4.33 eV/atom
&SYSTEM
  ibrav = 0, nat = 36, ntyp = 4
/
ATOMIC_SPECIES
S 32.06 S.upf
Cl 35.45 Cl.upf
W 183.84 W.upf
Se 78.96 Se.upf
ATOMIC_POSITIONS angstrom
S 12.2828 7.1517 4.5853
S 8.4826 3.6849 7.1153
S 6.4662 3.6936 7.3128
S 8.4836 4.0304 10.7341
S 12.2832 6.8239 1.3609
S 10.2654 6.8150 1.1641
S 10.2663 7.1604 4.7828
S 6.4658 4.0214 10.5372
Cl 9.9182 5.9621 8.6586
Cl 13.5354 6.2159 10.6807
Cl 13.2136 2.2385 10.3412
Cl 14.5890 9.3461 4.7290
Cl 6.6301 1.8119 4.2615
Cl 12.1188 9.0335 7.6366
Cl 11.3177 3.6011 1.6854
Cl 4.1600 1.4992 7.1691
Cl 6.8277 1.4004 0.9842
Cl 5.2135 4.6294 1.2175
Cl 8.8308 4.8833 3.2395
Cl 11.5185 4.0136 4.9633
Cl 7.4313 7.2442 10.2127
Cl 11.9213 9.4449 10.9139
Cl 5.5367 5.3677 4.3906
Cl 4.1431 0.5293 2.7088
Cl 13.2122 5.4776 7.5076
Cl 5.5354 8.6069 1.5570
Cl 7.2305 6.8318 6.9348
Cl 14.6058 10.3160 9.1894
W 7.6430 2.4612 9.0651
W 11.1070 5.5913 3.1151
W 11.1060 8.3842 2.8331
W 7.6419 5.2541 8.7830
Se 14.6670 6.5911 8.7873
Se 4.0820 4.2543 3.1109
Se 9.9775 9.6877 9.0619
Se 8.7714 1.1576 2.8362
CELL_PARAMETERS angstrom
9.3772 0.0000 0.0000
4.6864 8.5615 0.0000
4.6854 2.2839 11.8981

=====

(3)
! USCl9 | OQMD via LeMat-Bulk | PBE | optimized geometry; values from VASP
! VASP energy   -3.89 eV/atom
&SYSTEM
  ibrav = 0, nat = 44, ntyp = 3
/
ATOMIC_SPECIES
Cl 35.45 Cl.upf
U 238.03 U.upf
S 32.06 S.upf
ATOMIC_POSITIONS angstrom
Cl 0.2310 2.4829 3.9701
Cl 0.5555 6.1322 9.8525
Cl 8.3715 1.8924 9.5171
Cl 3.9566 8.7660 4.3993
Cl 9.2958 7.2594 6.9386
Cl 2.1325 3.6760 6.9738
Cl 8.4073 5.0645 3.9403
Cl 5.5702 2.8589 7.3678
Cl 4.8180 1.1452 10.4215
Cl 0.5212 9.5383 4.7525
Cl 9.1671 0.7934 1.3179
Cl 7.4717 1.6658 4.3642
Cl 5.8947 9.8931 1.4854
Cl 6.8504 9.8902 6.9869
Cl 7.6103 5.6191 9.6092
Cl 1.3826 1.9176 10.0683
Cl 10.1572 4.1966 0.9165
Cl 2.2711 10.4063 1.7287
Cl 5.1082 8.2007 9.6390
Cl 3.8279 4.5484 10.0200
Cl 6.9150 6.9359 1.4172
Cl 7.6460 8.7912 3.8481
Cl 2.3068 7.2342 7.4898
Cl 3.2067 7.0076 1.3048
Cl 10.1229 0.7904 7.1544
Cl 1.5113 6.1352 4.3511
Cl 6.7217 3.4242 1.2697
Cl 3.0681 0.2773 7.3976
Cl 5.8604 6.4870 6.5854
Cl 1.5758 9.0894 9.9208
Cl 3.7633 1.5941 4.2518
Cl 3.0323 3.4494 1.8208
Cl 9.1025 3.7477 7.0861
Cl 10.4473 7.8247 1.6989
Cl 8.5459 9.0177 10.0331
Cl 4.7837 4.5514 4.1835
U 3.4647 2.3818 8.7167
U 1.8745 8.3018 3.0477
U 7.2137 7.7236 8.2902
U 8.8039 2.9600 2.6212
S 7.5383 8.7915 1.8475
S 2.1991 7.2339 9.4904
S 8.4792 1.8921 7.5165
S 3.1401 3.4497 3.8214
CELL_PARAMETERS angstrom
10.6784 0.0000 0.0000
0.0000 10.6836 0.0000
0.0000 0.0000 11.3379